1.
8
Lattice="4.605 0.000 0.000 0.000 4.124 0.000 -1.797 0.000 8.200" Properties=species:S:1:pos:R:3 comment="PBE BaHoSi4Os2, relaxed" dft_energy_ev_per_atom=-6.8248 total_magnetization_mub_per_fu=0.0 pbc="T T T"
Ba 0.000 0.000 0.000
Ho 2.743 2.062 4.891
Si -0.131 2.062 2.517
Si 0.479 0.000 5.824
Si 0.475 2.062 7.318
Si 2.905 0.000 2.633
Os 0.634 0.000 3.490
Os 2.148 2.062 1.666



2.
10
Lattice="7.808 -1.994 0.000 7.808 1.994 0.000 -4.938 0.000 9.138" Properties=species:S:1:pos:R:3 comment="PBE NdGdCl3, relaxed" polymorph_energy_ev_per_atom=0.002 total_magnetization_mub_per_fu=0.0 pbc="T T T"
Nd -0.796 0.000 4.092
Nd 11.473 0.000 5.046
Gd 4.612 0.000 1.878
Gd 6.065 0.000 7.260
Cl 2.479 0.000 0.048
Cl 2.347 0.000 3.426
Cl 3.356 0.000 7.048
Cl 7.321 0.000 2.090
Cl 8.329 0.000 5.712
Cl 8.198 0.000 9.090



3.
8
Lattice="4.003 0.000 0.000 0.000 7.765 0.000 0.000 0.000 6.366" Properties=species:S:1:pos:R:3 comment="PBE LaAsAuO, relaxed" dft_energy_ev_per_atom=-5.7678 total_magnetization_mub_per_fu=0.0 pbc="T T T"
La 0.000 1.871 0.000
La 0.000 5.894 3.183
As 0.000 1.230 3.187
As 0.000 6.535 0.004
Au 2.001 2.694 3.223
Au 2.001 5.071 0.040
O 2.001 2.780 0.044
O 2.001 4.986 3.227